Entry 1:
VASP calculation (GGA-PBE) on crystalline Yb2InHg at its relaxed geometry.

Results
As for the energy relative to the elements: -0.57 eV/atom. The calculation puts the final energy at -2.095 eV per atom. The magnetic moment is 0.000 μB per atom.

```
data_Yb2InHg
_chemical_formula_sum 'Yb2 In1 Hg1'
_cell_length_a 5.3541
_cell_length_b 5.3516
_cell_length_c 5.3541
_cell_angle_alpha 60.01
_cell_angle_beta 59.97
_cell_angle_gamma 60.01
_symmetry_space_group_name_H-M 'P 1'
_symmetry_Int_Tables_number 1
loop_
_symmetry_equiv_pos_as_xyz
'x,y,z'
loop_
_atom_site_label
_atom_site_type_symbol
_atom_site_fract_x
_atom_site_fract_y
_atom_site_fract_z
_atom_site_occupancy
Yb1 Yb 0.4999 0.5001 0.4999 1
Yb2 Yb 0.0000 0.9999 0.0001 1
Hg1 Hg 0.2500 0.2500 0.2500 1
In1 In 0.7500 0.7500 0.7500 1
```

Entry 2:
VASP calculation (GGA-PBE) on crystalline ZnIrSCl2 at its relaxed geometry.

Results
The value obtained for the energy above the most stable polymorph in this dataset is 632 meV/atom. The calculation puts the final energy at -2.794 eV per atom. The magnetic moment is 0.492 μB per atom. Its uncorrected formation energy is 798 meV/atom.

```
data_ZnIrSCl2
_chemical_formula_sum 'Zn1 Ir1 S1 Cl2'
_cell_length_a 4.5264
_cell_length_b 4.5264
_cell_length_c 5.2146
_cell_angle_alpha 90.00
_cell_angle_beta 90.00
_cell_angle_gamma 90.00
_symmetry_space_group_name_H-M 'P 1'
_symmetry_Int_Tables_number 1
loop_
_symmetry_equiv_pos_as_xyz
'x,y,z'
loop_
_atom_site_label
_atom_site_type_symbol
_atom_site_fract_x
_atom_site_fract_y
_atom_site_fract_z
_atom_site_occupancy
Zn1 Zn 0.0000 0.0000 0.0000 1
Ir1 Ir 0.5000 0.5000 0.5000 1
S1 S 0.0000 0.0000 0.5000 1
Cl1 Cl 0.0000 0.5000 0.0000 1
Cl2 Cl 0.5000 0.0000 0.0000 1
```

Entry 3:
VASP calculation (GGA-PBE) on crystalline CsScSiSe4 at its relaxed geometry.

Results
The calculation puts the final energy at -4.927 eV per atom. The magnetic moment is 0.000 μB per atom. Its uncorrected formation energy is -1134 meV/atom.

```
data_CsScSiSe4
_chemical_formula_sum 'Cs2 Sc2 Si2 Se8'
_cell_length_a 6.4745
_cell_length_b 7.0437
_cell_length_c 9.7669
_cell_angle_alpha 90.00
_cell_angle_beta 109.11
_cell_angle_gamma 90.00
_symmetry_space_group_name_H-M 'P 1'
_symmetry_Int_Tables_number 1
loop_
_symmetry_equiv_pos_as_xyz
'x,y,z'
loop_
_atom_site_label
_atom_site_type_symbol
_atom_site_fract_x
_atom_site_fract_y
_atom_site_fract_z
_atom_site_occupancy
Cs1 Cs 0.7524 0.7500 0.9446 1
Cs2 Cs 0.2476 0.2500 0.0554 1
Sc1 Sc 0.7801 0.7500 0.4548 1
Sc2 Sc 0.2199 0.2500 0.5452 1
Si1 Si 0.2266 0.7500 0.3487 1
Si2 Si 0.7734 0.2500 0.6513 1
Se1 Se 0.0150 0.5011 0.6859 1
Se2 Se 0.9850 0.0011 0.3141 1
Se3 Se 0.9850 0.4989 0.3141 1
Se4 Se 0.0150 0.9989 0.6859 1
Se5 Se 0.4269 0.7500 0.1970 1
Se6 Se 0.5731 0.2500 0.8030 1
Se7 Se 0.4630 0.7500 0.5767 1
Se8 Se 0.5370 0.2500 0.4233 1
```

Entry 4:
VASP calculation (GGA-PBE) on crystalline Be3TlW at its relaxed geometry.

Results
As for the energy relative to the elements: 1.95 eV/atom. The value obtained for the energy above the most stable polymorph in this dataset is 587 meV/atom. The calculation puts the final energy at -3.351 eV per atom. The magnetic moment is 0.250 μB per atom.

```
data_Be3TlW
_chemical_formula_sum 'Be3 Tl1 W1'
_cell_length_a 4.3773
_cell_length_b 4.3773
_cell_length_c 4.3773
_cell_angle_alpha 90.00
_cell_angle_beta 90.00
_cell_angle_gamma 90.00
_symmetry_space_group_name_H-M 'P 1'
_symmetry_Int_Tables_number 1
loop_
_symmetry_equiv_pos_as_xyz
'x,y,z'
loop_
_atom_site_label
_atom_site_type_symbol
_atom_site_fract_x
_atom_site_fract_y
_atom_site_fract_z
_atom_site_occupancy
Be1 Be 0.0000 0.5000 0.0000 1
Be2 Be 0.0000 0.0000 0.5000 1
Be3 Be 0.5000 0.0000 0.0000 1
Tl1 Tl 0.0000 0.0000 0.0000 1
W1 W 0.5000 0.5000 0.5000 1
```

Entry 5:
VASP calculation (GGA-PBE) on crystalline HfScTe2 at its relaxed geometry.

Results
The value obtained for the energy above the most stable polymorph in this dataset is 0 meV/atom. The calculation puts the final energy at -6.343 eV per atom. The magnetic moment is 0.000 μB per atom. Its uncorrected formation energy is -701 meV/atom.

```
data_HfScTe2
_chemical_formula_sum 'Hf1 Sc1 Te2'
_cell_length_a 5.0494
_cell_length_b 5.0494
_cell_length_c 5.0494
_cell_angle_alpha 60.00
_cell_angle_beta 60.00
_cell_angle_gamma 60.00
_symmetry_space_group_name_H-M 'P 1'
_symmetry_Int_Tables_number 1
loop_
_symmetry_equiv_pos_as_xyz
'x,y,z'
loop_
_atom_site_label
_atom_site_type_symbol
_atom_site_fract_x
_atom_site_fract_y
_atom_site_fract_z
_atom_site_occupancy
Sc1 Sc 0.0000 0.0000 0.0000 1
Te1 Te 0.2500 0.2500 0.2500 1
Te2 Te 0.7500 0.7500 0.7500 1
Hf1 Hf 0.5000 0.5000 0.5000 1
```

Entry 6:
VASP calculation (GGA-PBE) on crystalline MoOsSeN2 at its relaxed geometry.

Results
The value obtained for the energy above the most stable polymorph in this dataset is 0 meV/atom. The calculation puts the final energy at -7.448 eV per atom. The magnetic moment is 0.723 μB per atom. Its uncorrected formation energy is 991 meV/atom.

```
data_MoOsSeN2
_chemical_formula_sum 'Mo1 Os1 Se1 N2'
_cell_length_a 3.8041
_cell_length_b 3.8041
_cell_length_c 5.5200
_cell_angle_alpha 90.00
_cell_angle_beta 90.00
_cell_angle_gamma 90.00
_symmetry_space_group_name_H-M 'P 1'
_symmetry_Int_Tables_number 1
loop_
_symmetry_equiv_pos_as_xyz
'x,y,z'
loop_
_atom_site_label
_atom_site_type_symbol
_atom_site_fract_x
_atom_site_fract_y
_atom_site_fract_z
_atom_site_occupancy
Mo1 Mo 0.5000 0.5000 0.5000 1
Os1 Os 0.0000 0.0000 0.0000 1
Se1 Se 0.0000 0.0000 0.5000 1
N1 N 0.0000 0.5000 0.0000 1
N2 N 0.5000 0.0000 0.0000 1
```